1.
Below is HoFeP2Os after structural relaxation, with properties calculated at the GGA-PBE level.

Calculated values
DOS at the Fermi energy = 1.8 states/eV per cell
final energy = -39.357 eV/f.u.
energy of formation = -0.8535 eV/atom

abc: 5.5196 5.5196 5.5196
angles: 137.96 137.96 60.97
Atoms (fractional coordinates):
Ho (0.0000, 0.0000, 0.0000)
Fe (0.2500, 0.7500, 0.5000)
P (0.3732, 0.3732, 0.0000)
P (0.6268, 0.6268, 0.0000)
Os (0.7500, 0.2500, 0.5000)


2.
Below is HoPaFeOs after structural relaxation, with properties calculated at the GGA-PBE level.

Calculated values
DOS at the Fermi energy = 3.0 states/eV per cell
final energy = -34.219 eV/f.u.
energy of formation = -0.1133 eV/atom

abc: 4.7979 4.7979 4.7979
angles: 60.00 60.00 60.00
Atoms (fractional coordinates):
Ho (0.0000, 0.0000, 0.0000)
Pa (0.5000, 0.5000, 0.5000)
Fe (0.7500, 0.7500, 0.7500)
Os (0.2500, 0.2500, 0.2500)


3.
Below is HoFeSi3Os after structural relaxation, with properties calculated at the GGA-PBE level.

Calculated values
DOS at the Fermi energy = 5.1 states/eV per cell
final energy = -42.355 eV/f.u.
formation energy from raw total energies = -0.303 eV per atom

abc: 6.5157 6.5157 5.3487
angles: 90.00 90.00 110.24
Atoms (fractional coordinates):
Ho (0.2428, 0.7572, 0.7500)
Ho (0.7572, 0.2428, 0.2500)
Fe (0.0433, 0.9567, 0.2500)
Fe (0.9567, 0.0433, 0.7500)
Si (0.2367, 0.7633, 0.2500)
Si (0.2393, 0.2393, 0.0000)
Si (0.2393, 0.2393, 0.5000)
Si (0.7607, 0.7607, 0.0000)
Si (0.7607, 0.7607, 0.5000)
Si (0.7633, 0.2367, 0.7500)
Os (0.4442, 0.5558, 0.2500)
Os (0.5558, 0.4442, 0.7500)


4.
Below is HoTaFeOs after structural relaxation, with properties calculated at the GGA-PBE level.

Calculated values
DOS at the Fermi energy = 1.8 states/eV per cell
final energy = -36.497 eV/f.u.
energy of formation = -0.0935 eV/atom

abc: 4.5666 4.5666 4.5666
angles: 60.00 60.00 60.00
Atoms (fractional coordinates):
Ho (0.0000, 0.0000, 0.0000)
Ta (0.5000, 0.5000, 0.5000)
Fe (0.2500, 0.2500, 0.2500)
Os (0.7500, 0.7500, 0.7500)